# Er4PSe3

Crystalline Er4PSe3 at its relaxed geometry (PBE, Alexandria).

It has space group Cmmm (No. 65), with a = 8.1049 Å, b = 11.3895 Å, c = 3.9985 Å, α = 90.00°, β = 90.00° and γ = 90.00°. The inequivalent atoms are Er at (0.0000, 0.2374, 0.0000), Er at (0.2296, 0.0000, 0.5000), P at (0.0000, 0.0000, 0.0000), Se at (0.0000, 0.5000, 0.0000) and Se at (0.2500, 0.2500, 0.5000).

As for the crystal system: orthorhombic. The energy relative to the elements, uncorrected is -1.746 eV/atom. The density of states at the Fermi level comes out at 0.32 states/eV/atom.